A plane-wave DFT calculation with PBEsol was carried out for a relaxed structure of SnSb2Te4.

Lattice parameters (Å, degrees): 4.3244 4.3244 40.6379 90.00 90.00 120.00
Closest atoms and distances in Å follow each position.
Space group R-3m (No. 166, hexagonal axes)
Unique sites:
Sn  0.0000  0.0000  0.0000 [3 per cell]  6 Te 3.12
Sb  0.0000  0.0000  0.4272 [6 per cell]  6 Te 3.00-3.16
Te  0.0000  0.0000  0.1350 [6 per cell]  3 Sb 3.00
Te  0.0000  0.0000  0.2873 [6 per cell]  3 Sn 3.12, 3 Sb 3.16

Its formation energy from raw total energies is -0.167 eV per atom. The total energy is -85.9 eV for the cell shown.

***

A plane-wave DFT calculation with PBEsol was carried out for a relaxed structure of SnSbTe2W.

Lattice parameters (Å, degrees): 5.2399 5.2399 5.2563 90.00 90.00 90.00
Closest atoms and distances in Å follow each position.
Space group P4/mmm (No. 123)
Unique sites:
Sn  0.0000  0.0000  0.0000 [1 per cell]  4 Sb 3.71, 8 Te 3.71
Sb  0.5000  0.5000  0.0000 [1 per cell]  2 W 2.63
Te  0.0000  0.5000  0.5000 [2 per cell]  2 W 2.62
W  0.5000  0.5000  0.5000 [1 per cell]  4 Te 2.62, 2 Sb 2.63

Its formation energy from raw total energies is 0.642 eV per atom. The total energy is -26.5 eV for the cell shown.

***

> Among the records above, which one has the lowest formation energy from raw total energies?

SnSb2Te4

***

> Number 1 is which compound?

SnSb2Te4